(1)
A plane-wave DFT calculation with PBE-GGA was carried out for an optimized crystal structure of ReHg2Pd.

Calculated values
- density of states at the Fermi level (states/eV per cell) = 2.83
- calculated total energy (eV/atom) = -3.83
- formation enthalpy at 0 K (meV/atom) = 734

Cell and atoms, written as CIF:
```
data_ReHg2Pd
_symmetry_space_group_name_H-M 'P 1'
_symmetry_Int_Tables_number 1
_cell_length_a 4.6775
_cell_length_b 4.6775
_cell_length_c 4.6775
_cell_angle_alpha 60.00
_cell_angle_beta 60.00
_cell_angle_gamma 60.00
loop_
_symmetry_equiv_pos_as_xyz
'x,y,z'
loop_
_atom_site_label
_atom_site_fract_x
_atom_site_fract_y
_atom_site_fract_z
_atom_site_occupancy
Re1 0.5000 0.5000 0.5000 1
Hg1 0.2500 0.2500 0.2500 1
Hg2 0.7500 0.7500 0.7500 1
Pd1 0.0000 0.0000 0.0000 1
```



(2)
A plane-wave DFT calculation with PBE-GGA was carried out for an optimized crystal structure of La2Mg3Sn4.

Calculated values
- density of states at the Fermi level (states/eV per cell) = 10.31
- calculated total energy (eV/atom) = -3.93
- formation enthalpy at 0 K (meV/atom) = -520

Cell and atoms, written as CIF:
```
data_La2Mg3Sn4
_symmetry_space_group_name_H-M 'P 1'
_symmetry_Int_Tables_number 1
_cell_length_a 6.5333
_cell_length_b 8.7072
_cell_length_c 9.0594
_cell_angle_alpha 90.00
_cell_angle_beta 111.14
_cell_angle_gamma 90.00
loop_
_symmetry_equiv_pos_as_xyz
'x,y,z'
loop_
_atom_site_label
_atom_site_fract_x
_atom_site_fract_y
_atom_site_fract_z
_atom_site_occupancy
La1 0.1136 0.5839 0.2272 1
La2 0.8864 0.4161 0.7728 1
La3 0.3864 0.0839 0.7728 1
La4 0.6136 0.9161 0.2272 1
Mg1 0.0000 0.0000 0.0000 1
Mg2 0.5000 0.5000 0.0000 1
Mg3 0.5339 0.7500 0.5679 1
Mg4 0.9661 0.2500 0.4321 1
Mg5 0.4661 0.2500 0.4321 1
Mg6 0.0339 0.7500 0.5679 1
Sn1 0.7034 0.7500 0.9067 1
Sn2 0.7966 0.2500 0.0933 1
Sn3 0.2966 0.2500 0.0933 1
Sn4 0.2034 0.7500 0.9067 1
Sn5 0.1840 0.9527 0.3680 1
Sn6 0.8160 0.0473 0.6320 1
Sn7 0.3160 0.4527 0.6320 1
Sn8 0.6840 0.5473 0.3680 1
```



(3)
A plane-wave DFT calculation with PBE-GGA was carried out for an optimized crystal structure of Pr2CrS4.

Calculated values
- density of states at the Fermi level (states/eV per cell) = 2.95
- calculated total energy (eV/atom) = -6.63
- formation energy from raw total energies (eV/atom) = -1.53

Cell and atoms, written as CIF:
```
data_Pr2CrS4
_symmetry_space_group_name_H-M 'P 1'
_symmetry_Int_Tables_number 1
_cell_length_a 5.9259
_cell_length_b 5.9259
_cell_length_c 7.7004
_cell_angle_alpha 64.19
_cell_angle_beta 64.19
_cell_angle_gamma 37.81
loop_
_symmetry_equiv_pos_as_xyz
'x,y,z'
loop_
_atom_site_label
_atom_site_fract_x
_atom_site_fract_y
_atom_site_fract_z
_atom_site_occupancy
Pr1 0.3332 0.3332 0.6915 1
Pr2 0.6668 0.6668 0.3085 1
Cr1 0.0000 0.0000 0.0000 1
S1 0.0657 0.0657 0.6444 1
S2 0.9343 0.9343 0.3556 1
S3 0.3504 0.3504 0.0516 1
S4 0.6496 0.6496 0.9484 1
```



(4)
A plane-wave DFT calculation with PBE-GGA was carried out for an optimized crystal structure of CeEr2Ru.

Calculated values
- density of states at the Fermi level (states/eV per cell) = 25.68
- calculated total energy (eV/atom) = -6.42
- formation enthalpy at 0 K (meV/atom) = -338

Cell and atoms, written as CIF:
```
data_CeEr2Ru
_symmetry_space_group_name_H-M 'P 1'
_symmetry_Int_Tables_number 1
_cell_length_a 6.3033
_cell_length_b 7.0787
_cell_length_c 9.4623
_cell_angle_alpha 90.00
_cell_angle_beta 90.00
_cell_angle_gamma 90.00
loop_
_symmetry_equiv_pos_as_xyz
'x,y,z'
loop_
_atom_site_label
_atom_site_fract_x
_atom_site_fract_y
_atom_site_fract_z
_atom_site_occupancy
Ce1 0.6438 0.5504 0.2500 1
Ce2 0.8562 0.0504 0.2500 1
Ce3 0.3562 0.4496 0.7500 1
Ce4 0.1438 0.9496 0.7500 1
Er1 0.1691 0.6735 0.0647 1
Er2 0.3309 0.1735 0.4353 1
Er3 0.8309 0.3265 0.5647 1
Er4 0.6691 0.8265 0.9353 1
Er5 0.8309 0.3265 0.9353 1
Er6 0.6691 0.8265 0.5647 1
Er7 0.1691 0.6735 0.4353 1
Er8 0.3309 0.1735 0.0647 1
Ru1 0.0193 0.3639 0.2500 1
Ru2 0.4807 0.8639 0.2500 1
Ru3 0.9807 0.6361 0.7500 1
Ru4 0.5193 0.1361 0.7500 1
```